First-principles (GGA+U) data for a relaxed structure of Sc6CoPb2O, as listed in the Alexandria database.

Properties
- electronic total energy (eV for the cell shown) = -63.0

Geometry as POSCAR:
```
Sc6CoPb2O
1.0
0.000 4.666 4.666
4.666 0.000 4.666
4.666 4.666 0.000
Sc Co Pb O
6 1 2 1
Cartesian
4.666 4.666 2.285
4.666 2.285 4.666
7.048 4.666 4.666
2.285 4.666 4.666
4.666 7.048 4.666
4.666 4.666 7.048
4.666 4.666 4.666
2.333 2.333 2.333
7.000 7.000 7.000
0.000 0.000 0.000
```